# Pr2AgHg5

A relaxed structure of Pr2AgHg5 (GGA-PBE, Alexandria).

Lattice parameters (Å, degrees): 5.2986 5.2986 8.1289 109.02 109.02 90.00
Positions (direct):
Pr 0.7491 0.7491 0.4981
Pr 0.2509 0.2509 0.5019
Ag 0.0000 0.0000 0.0000
Hg 0.5000 0.5000 0.0000
Hg 0.8858 0.3858 0.7715
Hg 0.3858 0.8858 0.7715
Hg 0.1142 0.6142 0.2285
Hg 0.6142 0.1142 0.2285

## Properties
SG ... I4/mmm
Electronic total energy ... -1.9834 eV/atom
Total moment ... 0.00 μB per cell
V ... 25.32 Å³ per atom
ΔE to the lowest computed polymorph ... 0.000 eV per atom
Fermi-level density of states ... 0.857 states/eV/atom